! AcNdGeRh, relaxed, DFT PBE; values from VASP
! Total moment in μB/f.u.: 0.00
! Formation energy from the elements in meV/atom: -524
! Energy relative to the lowest polymorph listed for this composition in meV/atom: 0.0
! Uncorrected energy in eV per atom: -5.735
&SYSTEM
  ibrav = 0, nat = 4, ntyp = 4
/
ATOMIC_SPECIES
Ac 227.00 Ac.upf
Nd 144.24 Nd.upf
Ge 72.64 Ge.upf
Rh 102.91 Rh.upf
ATOMIC_POSITIONS crystal
Ac 0.000 0.000 0.000
Nd 0.500 0.500 0.500
Ge 0.750 0.750 0.750
Rh 0.250 0.250 0.250
CELL_PARAMETERS angstrom
0.000 3.727 3.727
3.727 0.000 3.727
3.727 3.727 0.000